VASP calculation (PBE+U) on an optimized crystal structure of Cr2BiF.

As for the distance to the lowest polymorph of the same formula: 56.6 meV/atom. The calculation puts the size of the total moment at 32.00 Bohr magnetons per cell.

It has space group Fm-3m (No. 225), with a = 6.744 Å, b = 6.744 Å, c = 6.744 Å, α = 90.00°, β = 90.00° and γ = 90.00°. Symmetry generates all atoms from Cr at (0.250, 0.250, 0.250), Bi at (0.000, 0.000, 0.000) and F at (0.000, 0.000, 0.500).